A geometry-optimized Pr4GaBi3 structure, computed with PBE.

The crystal system is cubic. Its total energy is -39.8 eV/cell. As for the formation energy: -0.76 eV/atom.

a = 6.484 Å, b = 6.484 Å, c = 6.484 Å
α = 90.00°, β = 90.00°, γ = 90.00°
Space group Pm-3m (No. 221)
Asymmetric unit:
Pr 0.000 0.000 0.000
Pr 0.000 0.500 0.500
Ga 0.500 0.500 0.500
Bi 0.000 0.000 0.500